Below is a relaxed structure of Pm4CuOs, with properties calculated at the GGA-PBE level.

Cell and atoms, written as POSCAR:
```
Pm4CuOs
1.0
4.936 0.000 0.000
0.000 4.936 0.000
0.000 0.000 7.033
Pm Cu Os
4 1 1
Direct
0.000 0.500 0.240
0.000 0.500 0.760
0.500 0.000 0.240
0.500 0.000 0.760
0.000 0.000 0.500
0.500 0.500 0.000
```

Computed properties:
As for the formation energy: -11.5 meV/atom.